Record 1
# TeIr2Se, relaxed, DFT GGA-PBE
data_TeIr2Se
_cell_length_a 3.548
_cell_length_b 3.548
_cell_length_c 6.496
_cell_angle_alpha 90.00
_cell_angle_beta 90.00
_cell_angle_gamma 90.00
_symmetry_space_group_name_H-M 'P 4 m m'
_symmetry_Int_Tables_number 99
loop_
_symmetry_equiv_pos_as_xyz
'x,y,z'
'-y,x,z'
'-x,-y,z'
'y,-x,z'
'-x,y,z'
'y,x,z'
'x,-y,z'
'-y,-x,z'
loop_
_atom_site_label
_atom_site_fract_x
_atom_site_fract_y
_atom_site_fract_z
Te1 0.000 0.000 0.000
Ir1 0.000 0.000 0.403
Ir2 0.500 0.500 0.165
Se1 0.500 0.500 0.536
# Volume, Å³/atom: 20.45
# ΔE_f (raw), eV/f.u.: 0.657
# Distance to the lowest polymorph of the same formula, eV per atom: 0.143
# ρ, Mg/m³: 12.00


Record 2
# ErNpAu2, relaxed, DFT GGA-PBE
data_ErNpAu2
_cell_length_a 3.490
_cell_length_b 3.490
_cell_length_c 7.559
_cell_angle_alpha 90.00
_cell_angle_beta 90.00
_cell_angle_gamma 90.00
_symmetry_space_group_name_H-M 'P 4/m m m'
_symmetry_Int_Tables_number 123
_symmetry_space_group_name_Hall '-P 4 2'
loop_
_atom_site_label
_atom_site_fract_x
_atom_site_fract_y
_atom_site_fract_z
Er1 0.000 0.000 0.000
Np1 0.000 0.000 0.500
Au1 0.500 0.500 0.233
# Volume, Å³/atom: 23.01
# ΔE_f, eV/atom: -0.423
# Distance to the lowest polymorph of the same formula, eV per atom: 0.000
# ρ, Mg/m³: 14.40